A relaxed structure of PmSmCo3. Source: Alexandria, functional PBE.

```
PmSmCo3
1.0
3.9270 0.0000 0.0000
0.0000 4.1043 -0.7848
0.0000 0.1707 12.0180
Pm Sm Co
2 2 6
direct
0.2500 0.0697 0.1395
0.7500 0.9303 0.8605
0.2500 0.7961 0.5922
0.7500 0.2039 0.4078
0.2500 0.3805 0.7610
0.7500 0.6195 0.2390
0.2500 0.4764 0.9528
0.7500 0.5236 0.0472
0.7500 0.3339 0.6679
0.2500 0.6661 0.3321
```

Calculated values
Total energy (eV per atom): -6.27
Space group: Cmcm



A relaxed structure of PmSm2Co2. Source: Alexandria, functional PBE.

```
PmSm2Co2
1.0
-3.3849 0.5872 -1.6042
-0.0755 -5.3752 -1.8083
-0.7892 -0.4518 5.9805
Pm Sm Co
1 2 2
direct
0.0000 0.0000 0.0000
0.3526 0.4162 0.7053
0.6474 0.5838 0.2947
0.7241 0.1014 0.4481
0.2759 0.8986 0.5519
```

Calculated values
Offset from the most stable computed form (eV/atom): 0.074
Space group: C2/m



A relaxed structure of Pm3SmCo2. Source: Alexandria, functional PBE.

```
Pm3SmCo2
1.0
6.7408 0.0000 0.0000
0.0000 7.0353 0.0000
-3.3704 -3.5176 6.7515
Pm Sm Co
6 2 4
direct
0.5000 0.2500 0.0000
0.5000 0.7500 0.0000
0.7620 0.0120 0.5241
0.2380 0.4880 0.4759
0.2380 0.9880 0.4759
0.7620 0.5120 0.5241
0.0000 0.5000 0.0000
0.0000 0.0000 0.0000
0.5876 0.3654 0.7309
0.8567 0.1346 0.2691
0.1433 0.8654 0.7309
0.4124 0.6346 0.2691
```

Calculated values
Offset from the most stable computed form (eV/atom): 0.089
Space group: Ibam



A relaxed structure of PmSm3Co2. Source: Alexandria, functional PBE.

```
PmSm3Co2
1.0
-0.0675 -3.7808 1.4053
8.0355 -2.6090 -0.8433
3.6024 1.3140 9.4986
Pm Sm Co
2 6 4
direct
0.4375 0.4342 0.6907
0.5625 0.5658 0.3093
0.0622 0.0670 0.8087
0.9378 0.9330 0.1913
0.6877 0.6833 0.9412
0.3123 0.3167 0.0588
0.8113 0.8180 0.5594
0.1887 0.1820 0.4406
0.8748 0.3749 0.8754
0.1252 0.6251 0.1246
0.6250 0.1253 0.6247
0.3750 0.8747 0.3753
```

Calculated values
Offset from the most stable computed form (eV/atom): 0.041
Space group: C2/m



A relaxed structure of Pm2Sm3Co2. Source: Alexandria, functional PBE.

```
Pm2Sm3Co2
1.0
-1.8987 2.0998 -2.4416
-0.9354 -6.1157 -1.6700
-5.3450 2.9734 6.7137
Pm Sm Co
2 3 2
direct
0.8271 0.6542 0.1952
0.1729 0.3458 0.8048
0.5000 0.0000 0.0000
0.6171 0.2342 0.4236
0.3829 0.7658 0.5764
0.8204 0.6409 0.7554
0.1796 0.3591 0.2446
```

Calculated values
Total energy (eV per atom): -5.49
Space group: C2/m



A relaxed structure of Pm6SmCo3. Source: Alexandria, functional PBE.

```
Pm6SmCo3
1.0
-2.5605 -6.0990 2.9049
-0.5533 -3.5154 -7.8687
8.0244 -2.3293 2.1826
Pm Sm Co
12 2 6
direct
0.0740 0.6259 0.7073
0.5740 0.7073 0.6259
0.4326 0.5850 0.9612
0.9326 0.9612 0.5850
0.0852 0.9729 0.0271
0.7022 0.3268 0.6732
0.2022 0.6732 0.3268
0.5852 0.0271 0.9729
0.4326 0.0388 0.4150
0.9326 0.4150 0.0388
0.0740 0.2927 0.3741
0.5740 0.3741 0.2927
0.2470 0.2240 0.7760
0.7470 0.7760 0.2240
0.2814 0.9084 0.6973
0.7814 0.6973 0.9084
0.3749 0.4140 0.5860
0.8749 0.5860 0.4140
0.7814 0.0916 0.3027
0.2814 0.3027 0.0916
```

Calculated values
Total energy (eV per atom): -5.50
Space group: Cmc2_1



A relaxed structure of Pm2Sm5Co4. Source: Alexandria, functional PBE.

```
Pm2Sm5Co4
1.0
-2.3094 -0.7841 -2.6371
-3.3228 -4.3858 4.2138
-6.2861 8.6327 5.3846
Pm Sm Co
2 5 4
direct
0.9185 0.6385 0.8370
0.0815 0.3615 0.1630
0.1347 0.8203 0.2695
0.8653 0.1797 0.7305
0.2289 0.2960 0.4578
0.5000 0.0000 0.0000
0.7711 0.7040 0.5422
0.6667 0.5264 0.3334
0.0285 0.7077 0.0570
0.3333 0.4736 0.6666
0.9715 0.2923 0.9430
```

Calculated values
Total energy (eV per atom): -5.45
Space group: C2/m



A relaxed structure of Pm12SmCo6. Source: Alexandria, functional PBE.

```
Pm12SmCo6
1.0
8.1885 0.0000 -2.8951
-4.0943 7.0915 -2.8951
0.0000 0.0000 8.6853
Pm Sm Co
12 1 6
direct
0.3102 0.1156 0.8054
0.3102 0.5048 0.1946
0.6898 0.4952 0.8054
0.6898 0.8844 0.1946
0.1156 0.8054 0.3102
0.5048 0.1946 0.3102
0.4952 0.8054 0.6898
0.8844 0.1946 0.6898
0.8054 0.3102 0.1156
0.1946 0.3102 0.5048
0.8054 0.6898 0.4952
0.1946 0.6898 0.8844
0.0000 0.0000 0.0000
0.3884 0.5000 0.8884
0.6116 0.5000 0.1116
0.5000 0.8884 0.3884
0.5000 0.1116 0.6116
0.8884 0.3884 0.5000
0.1116 0.6116 0.5000
```

Calculated values
Total energy (eV per atom): -5.56
Space group: Im-3